Here is a geometry-optimized MnAg2RhN structure from Alexandria. Energies are from GGA-PBE.

Cell lengths 4.9785, 4.3933, 4.9785 Å; angles 90.00, 90.00, 90.00 degrees
With the nearest neighbours (Å) after each atom.
Sites, in units of the cell vectors:
Ag 0.0000 0.0000 0.5000  2 Mn 2.49
Ag 0.5000 0.0000 0.0000  2 Mn 2.49
N 0.5000 0.5000 0.5000  8 Ag 3.32, 4 Rh 3.52
Mn 0.0000 0.0000 0.0000  2 Rh 2.20
Rh 0.0000 0.5000 0.0000  2 Mn 2.20

Computed properties:
DOS at the Fermi energy: 2.8 states/eV per cell
Calculated volume: 21.8 Å³/atom
E_tot: -0.30616 Ry/atom
Density: 5.9 g/cm3
Energy relative to the elements, uncorrected: 1.9443 eV per atom